Entry 1:
PBE-GGA Tb3Dy6ErTm2, optimized geometry; SG = C2/m, No. 12; formation energy from the elements = 0.22 eV/f.u.; density of states at the Fermi level = 15.82 states/eV/cell; magnetization = 0.000 μB/cell
1.0
3.056 -5.288 0.000
3.056 5.288 0.000
-2.027 0.000 11.507
Tb Dy Er Tm
3 6 1 2
Cartesian
0.000 0.000 0.000 Tb
3.056 1.764 0.000 Tb
3.056 -1.764 0.000 Tb
1.019 1.763 2.898 Dy
0.008 0.000 8.609 Dy
1.019 -1.763 2.898 Dy
3.066 1.763 8.609 Dy
4.077 0.000 2.898 Dy
3.066 -1.763 8.609 Dy
2.043 0.000 5.754 Er
2.043 3.525 5.754 Tm
2.043 -3.525 5.754 Tm

=====

Entry 2:
PBE-GGA Tb2DyEr3Tm6, optimized geometry; SG = C2/m, No. 12; formation energy from the elements = 0.28 eV/f.u.; density of states at the Fermi level = 16.71 states/eV/cell; magnetization = 0.000 μB/cell
1.0
3.035 -5.250 0.000
3.035 5.250 0.000
-2.017 0.000 11.417
Tb Dy Er Tm
2 1 3 6
Cartesian
3.035 3.501 0.000 Tb
3.035 -3.501 0.000 Tb
3.035 0.000 0.000 Dy
-1.008 0.000 5.709 Er
2.027 1.750 5.709 Er
2.027 -1.750 5.709 Er
0.002 1.750 8.551 Tm
1.017 0.000 2.868 Tm
0.002 -1.750 8.551 Tm
4.051 1.750 2.867 Tm
3.037 0.000 8.549 Tm
4.051 -1.750 2.867 Tm

=====

Entry 3:
PBE-GGA TbDyErTm, optimized geometry; SG = F-43m, No. 216; energy relative to the lowest polymorph listed for this composition = 0.114 eV per atom; formation energy from the elements = 0.54 eV/f.u.; density of states at the Fermi level = 9.59 states/eV/cell; magnetization = 0.005 μB/cell
1.0
0.000 3.970 3.970
3.970 0.000 3.970
3.970 3.970 0.000
Tb Dy Er Tm
1 1 1 1
Cartesian
0.000 0.000 0.000 Tb
3.970 3.970 3.970 Dy
1.985 1.985 1.985 Er
5.956 5.956 5.956 Tm

=====

Entry 4:
PBE-GGA Tb3Dy2ErTm6, optimized geometry; SG = C2/m, No. 12; formation energy from the elements = 0.26 eV/f.u.; density of states at the Fermi level = 16.27 states/eV/cell; magnetization = 0.001 μB/cell
1.0
3.042 -5.263 0.000
3.042 5.263 0.000
-2.021 0.000 11.431
Tb Dy Er Tm
3 2 1 6
Cartesian
0.000 0.000 0.000 Tb
3.042 1.753 0.000 Tb
3.042 -1.753 0.000 Tb
2.032 3.509 5.716 Dy
2.032 -3.509 5.716 Dy
2.032 0.000 5.716 Er
1.017 1.754 2.866 Tm
0.006 0.000 8.566 Tm
1.017 -1.754 2.866 Tm
3.047 1.754 8.566 Tm
4.057 0.000 2.865 Tm
3.047 -1.754 8.566 Tm

=====

Entry 5:
PBE-GGA Tb2Dy2Er2Tm, optimized geometry; SG = R-3m, No. 166; formation energy from the elements = 0.98 eV/f.u.; density of states at the Fermi level = 16.75 states/eV/cell; magnetization = 0.005 μB/cell
1.0
2.803 1.618 8.080
-2.803 1.618 8.080
0.000 -3.237 8.080
Tb Dy Er Tm
2 2 2 1
Cartesian
0.000 0.000 3.408 Tb
0.000 0.000 20.831 Tb
0.000 0.000 6.936 Dy
0.000 0.000 17.303 Dy
0.000 0.000 10.396 Er
0.000 0.000 13.844 Er
0.000 0.000 0.000 Tm

=====

Entry 6:
PBE-GGA TbDy3Er2Tm6, optimized geometry; SG = C2/m, No. 12; formation energy from the elements = 0.28 eV/f.u.; density of states at the Fermi level = 16.51 states/eV/cell; magnetization = 0.000 μB/cell
1.0
3.036 -5.252 0.000
3.036 5.252 0.000
-2.017 0.000 11.421
Tb Dy Er Tm
1 3 2 6
Cartesian
0.000 0.000 0.000 Tb
2.027 3.500 5.711 Dy
2.027 0.000 5.711 Dy
2.027 -3.500 5.711 Dy
3.036 1.750 0.000 Er
3.036 -1.750 0.000 Er
1.016 1.752 2.850 Tm
0.005 0.000 8.571 Tm
1.016 -1.752 2.850 Tm
3.038 1.752 8.571 Tm
4.050 0.000 2.850 Tm
3.038 -1.752 8.571 Tm

=====

- Which formula does entry 2 have?
  Tb2DyEr3Tm6